No. 1
CrIn2Au GGA-PBE relaxed; DOS(E_F) = 2.28 states/eV/cell; calculated total energy = -0.163 hartree per atom
1.0
3.2013 0.0000 0.0000
0.0000 3.2013 0.0000
0.0000 0.0000 7.6965
Cr In Au
1 2 1
direct
0.0000 0.0000 0.0000
0.5000 0.5000 0.2439
0.5000 0.5000 0.7561
0.0000 0.0000 0.5000

No. 2
CaAcSm2As4 GGA-PBE relaxed; DOS(E_F) = 4.98 states/eV/cell; calculated total energy = -0.206 hartree per atom
1.0
7.4207 0.0000 0.0000
0.0000 4.3197 0.0000
-2.4864 0.0000 7.1268
Ca Ac Sm As
1 1 2 4
direct
0.0000 0.0000 0.0000
0.5000 0.5000 0.0000
0.0000 0.5000 0.5000
0.5000 0.0000 0.5000
0.2404 0.0000 0.7342
0.2502 0.5000 0.2622
0.7498 0.5000 0.7378
0.7596 0.0000 0.2658

No. 3
Lu2SiNi GGA-PBE relaxed; ΔE_f (raw) = -0.52 eV per atom; DOS(E_F) = 1.01 states/eV/cell; calculated total energy = -0.205 hartree per atom
1.0
0.0000 3.3703 3.3703
3.3703 0.0000 3.3703
3.3703 3.3703 0.0000
Lu Si Ni
2 1 1
direct
0.2500 0.2500 0.2500
0.7500 0.7500 0.7500
0.0000 0.0000 0.0000
0.5000 0.5000 0.5000

Question: What is the DOS(E_F) in the third record?
Answer: 1.01 states/eV/cell